[1]
Here is NaCaMnI5 after structural relaxation from Alexandria. Energies are from PBE.

Values from the calculation:
**Formation energy without anion corrections**: -1.042 eV per atom
**Fermi-level density of states**: 0.00 states/eV/cell
**E_tot**: -114.3 eV per cell

Lattice parameters (Å, degrees): 10.263 12.985 11.325 90.00 114.55 90.00
Space group C2/c (No. 15)
One atom of each set of equivalent atoms:
Na: 0.000 0.150 0.250 (multiplicity 4)
Ca: 0.000 0.500 0.000 (multiplicity 4)
Mn: 0.000 0.177 0.750 (multiplicity 4)
I: 0.000 0.398 0.250 (multiplicity 4)
I: 0.140 0.293 0.643 (multiplicity 8)
I: 0.171 0.049 0.940 (multiplicity 8)

[2]
Here is Si3Te after structural relaxation from Alexandria. Energies are from PBE.

Values from the calculation:
**Formation energy without anion corrections**: 0.766 eV per atom
**Fermi-level density of states**: 2.29 states/eV/cell
**ΔE to the lowest computed polymorph**: 47.0 kJ per mole of atoms
**E_tot**: -16.3 eV per cell

Lattice parameters (Å, degrees): 4.246 4.246 4.246 90.00 90.00 90.00
Space group Pm-3m (No. 221)
One atom of each set of equivalent atoms:
Si: 0.000 0.000 0.500 (multiplicity 3)
Te: 0.500 0.500 0.500 (multiplicity 1)

[3]
Here is Ta3CuH3 after structural relaxation from Alexandria. Energies are from PBE.

Values from the calculation:
**Fermi-level density of states**: 6.92 states/eV/cell
**E_tot**: -99.3 eV per cell

Lattice parameters (Å, degrees): 5.361 5.361 5.361 90.00 90.00 90.00
Space group Pm-3n (No. 223)
One atom of each set of equivalent atoms:
Ta: 0.000 0.250 0.500 (multiplicity 6)
Cu: 0.000 0.000 0.000 (multiplicity 2)
H: 0.000 0.500 0.250 (multiplicity 6)

[4]
Here is InAgSn after structural relaxation from Alexandria. Energies are from PBE.

Values from the calculation:
**Calculated formation energy**: 31 meV per atom
**Fermi-level density of states**: 2.38 states/eV/cell
**E_tot**: -19.0 eV per cell

Lattice parameters (Å, degrees): 3.513 6.198 6.772 89.87 75.09 90.00
Space group P-1 (No. 2)
One atom of each set of equivalent atoms:
In: 0.149 0.000 0.201 (multiplicity 2)
Ag: 0.500 0.248 0.500 (multiplicity 2)
Sn: 0.149 0.500 0.203 (multiplicity 2)

[5]
Here is TlGaReC2 after structural relaxation from Alexandria. Energies are from PBE.

Values from the calculation:
**Calculated formation energy**: 2733 meV per atom
**Fermi-level density of states**: 4.62 states/eV/cell
**E_tot**: -22.6 eV per cell

Lattice parameters (Å, degrees): 3.927 3.927 5.399 90.00 90.00 90.00
Space group P4/mmm (No. 123)
One atom of each set of equivalent atoms:
Tl: 0.000 0.000 0.000 (multiplicity 1)
Ga: 0.000 0.000 0.500 (multiplicity 1)
Re: 0.500 0.500 0.000 (multiplicity 1)
C: 0.000 0.500 0.500 (multiplicity 2)

[6]
Here is TaPbAu2 after structural relaxation from Alexandria. Energies are from PBE.

Values from the calculation:
**Calculated formation energy**: 428 meV per atom
**Fermi-level density of states**: 7.51 states/eV/cell
**E_tot**: -40.8 eV per cell

Lattice parameters (Å, degrees): 4.201 4.201 9.146 90.00 90.00 90.00
Space group I-4m2 (No. 119)
One atom of each set of equivalent atoms:
Ta: 0.000 0.000 0.000 (multiplicity 2)
Pb: 0.000 0.500 0.250 (multiplicity 2)
Au: 0.000 0.000 0.500 (multiplicity 2)
Au: 0.000 0.500 0.750 (multiplicity 2)

Which formula does entry 6 have?
TaPbAu2